Here is a geometry-optimized RbNbO3 structure from Alexandria. Energies are from PBE.

The structure belongs to space group Pm-3m (No. 221); the cell edges are 4.2875, 4.2875 and 4.2875 Å and the angles 90.00°, 90.00° and 90.00°. The inequivalent atoms are Rb at (0.0000, 0.0000, 0.0000), Nb at (0.5000, 0.5000, 0.5000) and O at (0.0000, 0.0000, 0.5000).

Its uncorrected formation energy is 5.6 eV/f.u. The value obtained for the spin magnetization is 2.07 Bohr magnetons per cell.